[1]
First-principles (GGA-PBE) data for Li4CoAgSn2 after structural relaxation, as listed in OQMD.

Cell lengths 4.4477, 4.4477, 6.4036 Å; angles 90.00, 90.00, 90.00 degrees
Fractional coordinates of all 8 atoms:
Li1 0.0000 0.0000 0.5000
Li2 0.0000 0.5000 0.7399
Li3 0.5000 0.0000 0.2601
Li4 0.5000 0.5000 0.0000
Sn1 0.5000 0.0000 0.7217
Sn2 0.0000 0.5000 0.2783
Ag1 0.0000 0.0000 0.0000
Co1 0.5000 0.5000 0.5000

Properties
The spin magnetization comes out at 0.7 μB/f.u. As for the space-group type: No. 115. The calculated volume is 126.7 Å³/f.u. The uncorrected energy comes out at -27.77 eV/cell. For the mass density, the calculation gives 5663 kg/m3.

***

[2]
First-principles (GGA-PBE) data for BaErN3 after structural relaxation, as listed in OQMD.

Cell lengths 6.6147, 3.5549, 7.1417 Å; angles 90.00, 111.21, 90.00 degrees
Fractional coordinates of all 10 atoms:
Ba1 0.7899 0.2500 0.6128
Ba2 0.2101 0.7500 0.3872
N1 0.0584 0.2500 0.0434
N2 0.4298 0.2500 0.7905
N3 0.5702 0.7500 0.2095
N4 0.9416 0.7500 0.9566
N5 0.2101 0.2500 0.6815
N6 0.7899 0.7500 0.3185
Er1 0.2681 0.7500 0.9259
Er2 0.7319 0.2500 0.0741

Properties
The spin magnetization comes out at 0.0 μB/f.u. As for the space-group type: No. 11. The calculated volume is 78.3 Å³/f.u. The uncorrected energy comes out at -67.95 eV/cell. For the mass density, the calculation gives 7352 kg/m3.

***

[3]
First-principles (GGA-PBE) data for DyTaPb after structural relaxation, as listed in OQMD.

Cell lengths 5.0323, 5.0323, 5.0323 Å; angles 60.00, 60.00, 60.00 degrees
Fractional coordinates of all 3 atoms:
Dy1 0.0000 0.0000 0.0000
Ta1 0.7500 0.7500 0.7500
Pb1 0.2500 0.2500 0.2500

Properties
The spin magnetization comes out at 3.0 μB/f.u. As for the space-group type: No. 216. The calculated volume is 90.1 Å³/f.u. The uncorrected energy comes out at -16.90 eV/cell. For the mass density, the calculation gives 10147 kg/m3. The excess energy over the best structure of this formula in the dataset is 1.31 eV per formula unit.

***

[4]
First-principles (GGA-PBE) data for DyCo2SiGe after structural relaxation, as listed in OQMD.

Cell lengths 5.6744, 5.6744, 5.6744 Å; angles 139.59, 139.59, 58.48 degrees
Fractional coordinates of all 5 atoms:
Co1 0.7547 0.2547 0.5000
Co2 0.2547 0.7547 0.5000
Dy1 0.9985 0.9985 0.0000
Ge1 0.6239 0.6239 0.0000
Si1 0.3682 0.3682 0.0000

Properties
The spin magnetization comes out at 0.0 μB/f.u. As for the space-group type: No. 107. The calculated volume is 76.1 Å³/f.u. The uncorrected energy comes out at -32.47 eV/cell. For the mass density, the calculation gives 8318 kg/m3.

***

[5]
First-principles (GGA-PBE) data for GaAgIBr3 after structural relaxation, as listed in OQMD.

Cell lengths 6.1966, 6.2347, 7.1174 Å; angles 114.02, 115.51, 90.35 degrees
Fractional coordinates of all 6 atoms:
Br1 0.3758 0.8518 0.2657
Br2 0.1636 0.1013 0.7361
Br3 0.5868 0.6329 0.7389
Ag1 0.9987 0.0021 0.0012
I1 0.8693 0.4088 0.2555
Ga1 0.2557 0.7532 0.5026

Properties
As for the space-group type: No. 1. The calculated volume is 221.1 Å³/f.u. The uncorrected energy comes out at -16.19 eV/cell. For the mass density, the calculation gives 4087 kg/m3.

***

[6]
First-principles (GGA-PBE) data for SiAg2HgSeS3 after structural relaxation, as listed in OQMD.

Cell lengths 5.7201, 5.7201, 7.0972 Å; angles 113.89, 113.89, 89.45 degrees
Fractional coordinates of all 8 atoms:
Ag1 0.7393 0.2746 0.5090
Ag2 0.2746 0.7393 0.5090
S1 0.6004 0.1692 0.7678
S2 0.3913 0.3913 0.2134
S3 0.1692 0.6004 0.7678
Se1 0.8349 0.8349 0.2396
Si1 0.4878 0.4878 0.9860
Hg1 0.0025 0.0025 0.0073

Properties
As for the space-group type: No. 8. The calculated volume is 190.8 Å³/f.u. The uncorrected energy comes out at -29.71 eV/cell. For the mass density, the calculation gives 5393 kg/m3.

***

[7]
First-principles (GGA-PBE) data for LuHfTlTe3 after structural relaxation, as listed in OQMD.

Cell lengths 7.9242, 7.9242, 11.4076 Å; angles 90.00, 90.00, 150.25 degrees
Fractional coordinates of all 12 atoms:
Tl1 0.7556 0.2444 0.2500
Tl2 0.2444 0.7556 0.7500
Te1 0.0658 0.9342 0.2500
Te2 0.9342 0.0658 0.7500
Te3 0.6385 0.3615 0.9859
Te4 0.6385 0.3615 0.5141
Te5 0.3615 0.6385 0.4859
Te6 0.3615 0.6385 0.0141
Lu1 0.5701 0.4299 0.7500
Lu2 0.4299 0.5701 0.2500
Hf1 0.0000 0.0000 0.0000
Hf2 0.0000 0.0000 0.5000

Properties
The spin magnetization comes out at 0.0 μB/f.u. As for the space-group type: No. 63. The calculated volume is 177.7 Å³/f.u. The uncorrected energy comes out at -60.92 eV/cell. For the mass density, the calculation gives 8790 kg/m3. The excess energy over the best structure of this formula in the dataset is 0.10 eV per formula unit.

***

[8]
First-principles (GGA-PBE) data for CuW3Cl7 after structural relaxation, as listed in OQMD.

Cell lengths 12.8856, 12.8856, 12.8856 Å; angles 90.00, 90.00, 90.00 degrees
Fractional coordinates of all 88 atoms:
Cu1 0.6892 0.6892 0.3108
Cu2 0.1892 0.8108 0.8108
Cu3 0.8108 0.1892 0.8108
Cu4 0.3108 0.6892 0.6892
Cu5 0.1892 0.1892 0.1892
Cu6 0.6892 0.3108 0.6892
Cu7 0.3108 0.3108 0.3108
Cu8 0.8108 0.8108 0.1892
Cl1 0.3246 0.8765 0.4370
Cl2 0.0630 0.8246 0.3765
Cl3 0.8145 0.3319 0.5692
Cl4 0.5630 0.3246 0.1235
Cl5 0.1681 0.0692 0.3145
Cl6 0.6754 0.8765 0.5630
Cl7 0.1855 0.3319 0.4308
Cl8 0.4308 0.8145 0.6681
Cl9 0.6235 0.9370 0.8246
Cl10 0.3765 0.9370 0.1754
Cl11 0.8319 0.9308 0.3145
Cl12 0.8319 0.0692 0.6855
Cl13 0.6681 0.5692 0.1855
Cl14 0.1115 0.8885 0.1115
Cl15 0.6681 0.4308 0.8145
Cl16 0.6855 0.1681 0.9308
Cl17 0.6754 0.1235 0.4370
Cl18 0.1235 0.4370 0.6754
Cl19 0.4370 0.3246 0.8765
Cl20 0.8145 0.6681 0.4308
Cl21 0.3145 0.1681 0.0692
Cl22 0.3885 0.6115 0.3885
Cl23 0.8885 0.1115 0.1115
Cl24 0.5692 0.1855 0.6681
Cl25 0.1681 0.9308 0.6855
Cl26 0.8246 0.6235 0.9370
Cl27 0.0630 0.1754 0.6235
Cl28 0.5692 0.8145 0.3319
Cl29 0.5630 0.6754 0.8765
Cl30 0.6115 0.6115 0.6115
Cl31 0.8765 0.4370 0.3246
Cl32 0.3885 0.3885 0.6115
Cl33 0.3765 0.0630 0.8246
Cl34 0.8246 0.3765 0.0630
Cl35 0.9308 0.3145 0.8319
Cl36 0.4308 0.1855 0.3319
Cl37 0.3145 0.8319 0.9308
Cl38 0.9370 0.8246 0.6235
Cl39 0.0692 0.3145 0.1681
Cl40 0.9308 0.6855 0.1681
Cl41 0.3319 0.4308 0.1855
Cl42 0.6115 0.3885 0.3885
Cl43 0.4370 0.6754 0.1235
Cl44 0.6235 0.0630 0.1754
Cl45 0.1754 0.3765 0.9370
Cl46 0.8765 0.5630 0.6754
Cl47 0.6855 0.8319 0.0692
Cl48 0.0692 0.6855 0.8319
Cl49 0.9370 0.1754 0.3765
Cl50 0.1115 0.1115 0.8885
Cl51 0.3319 0.5692 0.8145
Cl52 0.1754 0.6235 0.0630
Cl53 0.1855 0.6681 0.5692
Cl54 0.1235 0.5630 0.3246
Cl55 0.8885 0.8885 0.8885
Cl56 0.3246 0.1235 0.5630
W1 0.2762 0.2173 0.8880
W2 0.7762 0.7173 0.6120
W3 0.8880 0.2762 0.2173
W4 0.7173 0.6120 0.7762
W5 0.6120 0.7762 0.7173
W6 0.2238 0.2827 0.6120
W7 0.2827 0.6120 0.2238
W8 0.8880 0.7238 0.7827
W9 0.7762 0.2827 0.3880
W10 0.2827 0.3880 0.7762
W11 0.3880 0.7762 0.2827
W12 0.6120 0.2238 0.2827
W13 0.2173 0.1120 0.7238
W14 0.2173 0.8880 0.2762
W15 0.2238 0.7173 0.3880
W16 0.7827 0.8880 0.7238
W17 0.2762 0.7827 0.1120
W18 0.3880 0.2238 0.7173
W19 0.7238 0.2173 0.1120
W20 0.1120 0.7238 0.2173
W21 0.1120 0.2762 0.7827
W22 0.7827 0.1120 0.2762
W23 0.7173 0.3880 0.2238
W24 0.7238 0.7827 0.8880

Properties
The spin magnetization comes out at 0.0 μB/f.u. As for the space-group type: No. 201. The calculated volume is 267.4 Å³/f.u. The uncorrected energy comes out at -503.83 eV/cell. For the mass density, the calculation gives 5360 kg/m3.

***

[9]
First-principles (GGA-PBE) data for Os after structural relaxation, as listed in OQMD.

Cell lengths 6.6400, 6.6400, 6.6400 Å; angles 90.00, 90.00, 90.00 degrees
Fractional coordinates of all 20 atoms:
Os1 0.7995 0.9505 0.3750
Os2 0.0495 0.8750 0.7005
Os3 0.6250 0.2995 0.5495
Os4 0.8750 0.7005 0.0495
Os5 0.0575 0.0575 0.0575
Os6 0.7005 0.0495 0.8750
Os7 0.2005 0.4505 0.1250
Os8 0.1925 0.8075 0.3075
Os9 0.4505 0.1250 0.2005
Os10 0.4425 0.9425 0.5575
Os11 0.5495 0.6250 0.2995
Os12 0.1250 0.2005 0.4505
Os13 0.6925 0.6925 0.6925
Os14 0.9505 0.3750 0.7995
Os15 0.3075 0.1925 0.8075
Os16 0.8075 0.3075 0.1925
Os17 0.5575 0.4425 0.9425
Os18 0.3750 0.7995 0.9505
Os19 0.2995 0.5495 0.6250
Os20 0.9425 0.5575 0.4425

Properties
The spin magnetization comes out at 0.0 μB/f.u. As for the space-group type: No. 213. The calculated volume is 14.6 Å³/f.u. The uncorrected energy comes out at -218.40 eV/cell. The energy of formation from the pure elements is 0.306 eV/atom. For the mass density, the calculation gives 21580 kg/m3. The excess energy over the best structure of this formula in the dataset is 0.31 eV per formula unit.

***

Q: calculated volume of number 7 (LuHfTlTe3)?
A: 177.7 Å³/f.u.